DFT (PBE) results for a relaxed structure of SrCdBr.

Lattice parameters (Å, degrees): 5.314 5.314 4.558 90.00 90.00 120.00
Element x y z (fractional)
Br1 0.000 0.000 0.831
Sr1 0.333 0.667 0.835
Cd1 0.667 0.333 0.333

* volume: 37.16 Å³ per atom
* crystal system: trigonal
* final energy: -6.7 eV per cell
* symmetry: P3m1, No. 156
* energy above the lowest structure with this stoichiometry: 80 meV/atom